*1*
A relaxed VCr2Se crystal, computed with PBE-GGA. Values from VASP.

Computed properties:
space-group type	I-42d
Fermi-level density of states	8.70	states/eV per cell

```
&SYSTEM
  ibrav = 0, nat = 8, ntyp = 3
/
ATOMIC_SPECIES
V 50.94 V.upf
Cr 52.00 Cr.upf
Se 78.96 Se.upf
CELL_PARAMETERS angstrom
3.590 0.000 0.000
0.000 3.590 0.000
1.795 1.795 8.736
ATOMIC_POSITIONS crystal
V 0.250 0.750 0.500
V 0.500 0.500 0.000
Cr 0.076 0.625 0.250
Se 0.750 0.250 0.500
Se 0.000 0.000 0.000
Cr 0.674 0.125 0.250
Cr 0.375 0.326 0.750
Cr 0.875 0.924 0.750
```

---

*2*
A relaxed VCr2Se crystal, computed with PBE-GGA. Values from VASP.

Computed properties:
space-group type	Fm-3m
Fermi-level density of states	2.21	states/eV per cell

```
&SYSTEM
  ibrav = 0, nat = 4, ntyp = 3
/
ATOMIC_SPECIES
Cr 52.00 Cr.upf
V 50.94 V.upf
Se 78.96 Se.upf
CELL_PARAMETERS angstrom
-2.810 -0.819 2.923
-3.761 -1.352 -1.067
-1.090 -3.913 0.783
ATOMIC_POSITIONS crystal
Cr 0.250 0.250 0.250
V 0.000 0.000 0.000
Se 0.500 0.500 0.500
Cr 0.750 0.750 0.750
```

---

It is *2* that is most stable; the runner-up trails by 219 meV per atom.

---

*1*
A relaxed CrWSe2 crystal, computed with PBE-GGA. Values from VASP.

Computed properties:
space-group type	R3m
Fermi-level density of states	1.96	states/eV per cell

```
&SYSTEM
  ibrav = 0, nat = 4, ntyp = 3
/
ATOMIC_SPECIES
Se 78.96 Se.upf
W 183.84 W.upf
Cr 52.00 Cr.upf
CELL_PARAMETERS angstrom
9.770 0.049 0.029
9.263 3.105 0.029
9.263 1.535 2.699
ATOMIC_POSITIONS crystal
Se 0.222 0.222 0.222
Se 0.031 0.031 0.031
W 0.494 0.494 0.494
Cr 0.753 0.753 0.753
```

---

*2*
A relaxed CrWSe2 crystal, computed with PBE-GGA. Values from VASP.

Computed properties:
space-group type	P2/m
Fermi-level density of states	3.17	states/eV per cell

```
&SYSTEM
  ibrav = 0, nat = 4, ntyp = 3
/
ATOMIC_SPECIES
W 183.84 W.upf
Cr 52.00 Cr.upf
Se 78.96 Se.upf
CELL_PARAMETERS angstrom
-1.521 3.564 -1.031
-2.675 -0.612 1.832
2.938 2.467 4.193
ATOMIC_POSITIONS crystal
W 0.500 0.250 0.250
Cr 0.500 0.750 0.750
Se 0.000 0.414 0.507
Se 0.000 0.086 0.993
```

---

*3*
A relaxed CrWSe2 crystal, computed with PBE-GGA. Values from VASP.

Computed properties:
space-group type	I-42d
Fermi-level density of states	6.46	states/eV per cell

```
&SYSTEM
  ibrav = 0, nat = 8, ntyp = 3
/
ATOMIC_SPECIES
Se 78.96 Se.upf
W 183.84 W.upf
Cr 52.00 Cr.upf
CELL_PARAMETERS angstrom
5.745 0.000 0.000
0.000 5.745 0.000
2.873 2.873 5.646
ATOMIC_POSITIONS crystal
Se 0.122 0.625 0.250
W 0.750 0.250 0.500
W 0.000 0.000 0.000
Se 0.375 0.372 0.750
Cr 0.250 0.750 0.500
Se 0.875 0.878 0.750
Se 0.628 0.125 0.250
Cr 0.500 0.500 0.000
```

---

*4*
A relaxed CrWSe2 crystal, computed with PBE-GGA. Values from VASP.

Computed properties:
space-group type	Cm
Fermi-level density of states	2.88	states/eV per cell

```
&SYSTEM
  ibrav = 0, nat = 4, ntyp = 3
/
ATOMIC_SPECIES
Se 78.96 Se.upf
W 183.84 W.upf
Cr 52.00 Cr.upf
CELL_PARAMETERS angstrom
-3.593 -1.206 -2.697
-3.355 -3.217 -0.183
-3.720 2.271 2.169
ATOMIC_POSITIONS crystal
Se 0.008 0.008 0.887
W 0.513 0.513 0.469
Se 0.243 0.243 0.308
Cr 0.737 0.737 0.836
```

---

It is *1* that is most stable; the runner-up trails by 246 meV per atom.

---

*1*
A relaxed CrWSe2 crystal, computed with PBE-GGA. Values from VASP.

Computed properties:
space-group type	Imm2
Fermi-level density of states	3.57	states/eV per cell

```
&SYSTEM
  ibrav = 0, nat = 4, ntyp = 3
/
ATOMIC_SPECIES
Se 78.96 Se.upf
W 183.84 W.upf
Cr 52.00 Cr.upf
CELL_PARAMETERS angstrom
-4.553 2.840 1.680
-5.235 -1.980 -0.548
5.176 -0.708 2.081
ATOMIC_POSITIONS crystal
Se 0.732 0.232 0.500
W 0.519 0.519 0.000
Cr 0.231 0.731 0.500
Se 0.018 0.018 0.000
```

---

*2*
A relaxed CrWSe2 crystal, computed with PBE-GGA. Values from VASP.

Computed properties:
space-group type	C2/m
Fermi-level density of states	2.21	states/eV per cell

```
&SYSTEM
  ibrav = 0, nat = 4, ntyp = 3
/
ATOMIC_SPECIES
W 183.84 W.upf
Se 78.96 Se.upf
Cr 52.00 Cr.upf
CELL_PARAMETERS angstrom
4.291 -0.096 -0.156
3.111 2.957 -0.156
0.911 0.352 5.440
ATOMIC_POSITIONS crystal
W 0.250 0.250 0.250
Se 0.529 0.529 0.476
Cr 0.750 0.750 0.750
Se 0.971 0.971 0.024
```

---

It is *2* that is most stable; the runner-up trails by 141 meV per atom.

---

*1*
A relaxed CrWSe2 crystal, computed with PBE-GGA. Values from VASP.

Computed properties:
space-group type	Cmmm
Fermi-level density of states	4.06	states/eV per cell

```
&SYSTEM
  ibrav = 0, nat = 4, ntyp = 3
/
ATOMIC_SPECIES
W 183.84 W.upf
Se 78.96 Se.upf
Cr 52.00 Cr.upf
CELL_PARAMETERS angstrom
3.294 0.001 0.000
-1.665 2.843 0.000
0.000 0.000 7.776
ATOMIC_POSITIONS crystal
W 0.500 0.500 0.250
Se 0.000 0.000 0.996
Se 0.000 0.000 0.504
Cr 0.500 0.500 0.750
```

---

*2*
A relaxed CrWSe2 crystal, computed with PBE-GGA. Values from VASP.

Computed properties:
space-group type	Immm
Fermi-level density of states	2.25	states/eV per cell

```
&SYSTEM
  ibrav = 0, nat = 4, ntyp = 3
/
ATOMIC_SPECIES
Se 78.96 Se.upf
W 183.84 W.upf
Cr 52.00 Cr.upf
CELL_PARAMETERS angstrom
-1.930 1.726 7.015
0.601 -2.783 6.914
3.009 1.579 -6.661
ATOMIC_POSITIONS crystal
Se 0.879 0.879 0.000
W 0.750 0.250 0.500
Cr 0.250 0.750 0.500
Se 0.621 0.621 0.000
```

---

It is *2* that is most stable; the runner-up trails by 662 meV per atom.

---

*1*
A relaxed CrWSe2 crystal, computed with PBE-GGA. Values from VASP.

Computed properties:
space-group type	Pmmm
Fermi-level density of states	3.21	states/eV per cell

```
&SYSTEM
  ibrav = 0, nat = 4, ntyp = 3
/
ATOMIC_SPECIES
Cr 52.00 Cr.upf
W 183.84 W.upf
Se 78.96 Se.upf
CELL_PARAMETERS angstrom
-2.999 -0.299 -0.821
1.592 -2.620 -4.860
-0.156 -3.555 1.866
ATOMIC_POSITIONS crystal
Cr 0.000 0.500 0.500
W 0.500 0.000 0.500
Se 0.000 0.000 0.000
Se 0.500 0.500 0.000
```

---

*2*
A relaxed CrWSe2 crystal, computed with PBE-GGA. Values from VASP.

Computed properties:
space-group type	P4/mmm
Fermi-level density of states	2.28	states/eV per cell

```
&SYSTEM
  ibrav = 0, nat = 4, ntyp = 3
/
ATOMIC_SPECIES
W 183.84 W.upf
Se 78.96 Se.upf
Cr 52.00 Cr.upf
CELL_PARAMETERS angstrom
3.189 0.000 0.000
0.000 3.189 0.000
0.000 0.000 6.440
ATOMIC_POSITIONS crystal
W 0.500 0.500 0.250
Se 0.000 0.000 0.010
Se 0.000 0.000 0.490
Cr 0.500 0.500 0.750
```

---

*3*
A relaxed CrWSe2 crystal, computed with PBE-GGA. Values from VASP.

Computed properties:
space-group type	F-43m
Fermi-level density of states	2.66	states/eV per cell

```
&SYSTEM
  ibrav = 0, nat = 4, ntyp = 3
/
ATOMIC_SPECIES
W 183.84 W.upf
Se 78.96 Se.upf
Cr 52.00 Cr.upf
CELL_PARAMETERS angstrom
4.554 0.000 0.000
2.277 3.943 0.000
2.277 1.314 3.718
ATOMIC_POSITIONS crystal
W 0.750 0.750 0.750
Se 0.000 0.000 0.000
Cr 0.500 0.500 0.500
Se 0.250 0.250 0.250
```

---

*4*
A relaxed CrWSe2 crystal, computed with PBE-GGA. Values from VASP.

Computed properties:
space-group type	Pm
Fermi-level density of states	2.35	states/eV per cell

```
&SYSTEM
  ibrav = 0, nat = 4, ntyp = 3
/
ATOMIC_SPECIES
Se 78.96 Se.upf
W 183.84 W.upf
Cr 52.00 Cr.upf
CELL_PARAMETERS angstrom
3.863 0.000 0.000
0.000 3.461 -0.033
0.000 0.055 6.789
ATOMIC_POSITIONS crystal
Se 0.500 0.374 0.369
W 0.000 0.375 0.616
Cr 0.500 0.875 0.632
Se 0.000 0.876 0.883
```

---

It is *4* that is most stable; the runner-up trails by 432 meV per atom.

---

*1*
A relaxed CrWSe2 crystal, computed with PBE-GGA. Values from VASP.

Computed properties:
space-group type	P4mm
Fermi-level density of states	2.72	states/eV per cell

```
&SYSTEM
  ibrav = 0, nat = 4, ntyp = 3
/
ATOMIC_SPECIES
Se 78.96 Se.upf
Cr 52.00 Cr.upf
W 183.84 W.upf
CELL_PARAMETERS angstrom
3.311 0.000 0.000
0.000 3.311 0.000
0.000 0.000 7.317
ATOMIC_POSITIONS crystal
Se 0.000 0.000 0.888
Cr 0.500 0.500 0.704
W 0.000 0.000 0.548
Se 0.500 0.500 0.360
```

---

*2*
A relaxed CrWSe2 crystal, computed with PBE-GGA. Values from VASP.

Computed properties:
space-group type	R-3m
Fermi-level density of states	2.78	states/eV per cell

```
&SYSTEM
  ibrav = 0, nat = 4, ntyp = 3
/
ATOMIC_SPECIES
Se 78.96 Se.upf
W 183.84 W.upf
Cr 52.00 Cr.upf
CELL_PARAMETERS angstrom
-2.824 -6.966 2.311
-0.585 -6.297 4.674
-3.638 -4.997 4.862
ATOMIC_POSITIONS crystal
Se 0.506 0.506 0.506
W 0.250 0.250 0.250
Cr 0.750 0.750 0.750
Se 0.994 0.994 0.994
```

---

It is *1* that is most stable; the runner-up trails by 166 meV per atom.